No. 1
The following is a DFT calculation (PBE) of YAgSbPd after structural relaxation.

Geometry as POSCAR:
```
YAgSbPd
1.0
6.951 0.000 0.000
0.000 6.951 0.000
0.000 0.000 6.951
Y Ag Sb Pd
4 4 4 4
Direct
0.000 0.000 0.000 Y
0.000 0.500 0.500 Y
0.500 0.000 0.500 Y
0.500 0.500 0.000 Y
0.250 0.250 0.750 Ag
0.250 0.750 0.250 Ag
0.750 0.250 0.250 Ag
0.750 0.750 0.750 Ag
0.000 0.000 0.500 Sb
0.000 0.500 0.000 Sb
0.500 0.000 0.000 Sb
0.500 0.500 0.500 Sb
0.250 0.250 0.250 Pd
0.250 0.750 0.750 Pd
0.750 0.250 0.750 Pd
0.750 0.750 0.250 Pd
```

Computed properties:
- Formation energy from raw total energies: -0.568 eV/atom
- Crystal system: cubic
- Symmetry: No. 216

No. 2
The following is a DFT calculation (PBE) of Sc4FeIr after structural relaxation.

Geometry as POSCAR:
```
Sc4FeIr
1.0
0.000 3.840 3.840
3.840 0.000 3.840
3.840 3.840 0.000
Sc Fe Ir
4 1 1
Direct
0.376 0.376 0.376 Sc
0.376 0.376 0.873 Sc
0.376 0.873 0.376 Sc
0.873 0.376 0.376 Sc
0.000 0.000 0.000 Fe
0.750 0.750 0.750 Ir
```

Computed properties:
- Crystal system: cubic
- Symmetry: No. 216
- Energy relative to the elements: 0.467 eV per atom
- E above lowest polymorph: 0.9044 eV/atom

No. 3
The following is a DFT calculation (PBE) of Re3NiAu after structural relaxation.

Geometry as POSCAR:
```
Re3NiAu
1.0
4.416 0.000 0.000
0.000 4.416 0.000
0.000 0.000 4.416
Re Ni Au
3 1 1
Direct
0.000 0.000 0.500 Re
0.000 0.500 0.000 Re
0.500 0.000 0.000 Re
0.000 0.000 0.000 Ni
0.500 0.500 0.500 Au
```

Computed properties:
- Crystal system: cubic
- Symmetry: No. 221
- Energy relative to the elements: 1.738 eV per atom
- E above lowest polymorph: 0.0000 eV/atom

No. 4
The following is a DFT calculation (PBE) of AgRhI after structural relaxation.

Geometry as POSCAR:
```
AgRhI
1.0
13.054 0.000 0.000
0.000 3.962 0.000
-1.888 0.000 5.241
Ag Rh I
4 4 4
Direct
0.000 0.000 0.000 Ag
0.079 0.500 0.390 Ag
0.500 0.500 0.000 Ag
0.579 0.000 0.390 Ag
0.145 0.500 0.949 Rh
0.229 0.000 0.316 Rh
0.645 0.000 0.949 Rh
0.729 0.500 0.316 Rh
0.239 0.000 0.810 I
0.378 0.500 0.451 I
0.739 0.500 0.810 I
0.878 0.000 0.451 I
```

Computed properties:
- Formation energy from raw total energies: 0.246 eV/atom
- Crystal system: monoclinic
- Symmetry: No. 8
- E above lowest polymorph: 0.0963 eV/atom

No. 5
The following is a DFT calculation (PBE) of PuPaReGe after structural relaxation.

Geometry as POSCAR:
```
PuPaReGe
1.0
6.779 0.000 0.000
0.000 6.779 0.000
0.000 0.000 6.779
Pu Pa Re Ge
4 4 4 4
Direct
0.000 0.000 0.000 Pu
0.000 0.500 0.500 Pu
0.500 0.000 0.500 Pu
0.500 0.500 0.000 Pu
0.250 0.250 0.750 Pa
0.250 0.750 0.250 Pa
0.750 0.250 0.250 Pa
0.750 0.750 0.750 Pa
0.000 0.000 0.500 Re
0.000 0.500 0.000 Re
0.500 0.000 0.000 Re
0.500 0.500 0.500 Re
0.250 0.250 0.250 Ge
0.250 0.750 0.750 Ge
0.750 0.250 0.750 Ge
0.750 0.750 0.250 Ge
```

Computed properties:
- Crystal system: cubic
- Symmetry: No. 216
- Energy relative to the elements: -0.065 eV per atom
- E above lowest polymorph: 0.1454 eV/atom

No. 6
The following is a DFT calculation (PBE) of Li2CoCu after structural relaxation.

Geometry as POSCAR:
```
Li2CoCu
1.0
2.516 0.000 0.000
0.000 4.448 0.000
0.000 0.000 8.970
Li Co Cu
4 2 2
Direct
0.000 0.000 0.000 Li
0.000 0.500 0.234 Li
0.500 0.000 0.734 Li
0.500 0.500 0.500 Li
0.000 0.000 0.481 Co
0.500 0.500 0.981 Co
0.000 0.500 0.746 Cu
0.500 0.000 0.246 Cu
```

Computed properties:
- Crystal system: orthorhombic
- Symmetry: No. 44
- Energy relative to the elements: 0.187 eV per atom
- E above lowest polymorph: 0.1024 eV/atom

No. 7
The following is a DFT calculation (PBE) of Be2InMo after structural relaxation.

Geometry as POSCAR:
```
Be2InMo
1.0
2.761 0.000 0.000
0.000 3.150 0.000
0.000 0.000 6.411
Be In Mo
2 1 1
Direct
0.000 0.000 0.000 Be
0.500 0.500 0.149 Be
0.000 0.000 0.442 In
0.500 0.500 0.778 Mo
```

Computed properties:
- Crystal system: orthorhombic
- Symmetry: No. 25
- Energy relative to the elements: 0.349 eV per atom

No. 8
The following is a DFT calculation (PBE) of Ba2SiPt5 after structural relaxation.

Geometry as POSCAR:
```
Ba2SiPt5
1.0
5.926 0.000 0.000
0.000 5.926 0.000
0.000 0.000 10.656
Ba Si Pt
4 2 10
Direct
0.000 0.500 0.000 Ba
0.000 0.500 0.500 Ba
0.500 0.000 0.000 Ba
0.500 0.000 0.500 Ba
0.000 0.000 0.336 Si
0.500 0.500 0.836 Si
0.000 0.000 0.564 Pt
0.236 0.236 0.753 Pt
0.236 0.764 0.753 Pt
0.264 0.264 0.253 Pt
0.264 0.736 0.253 Pt
0.500 0.500 0.064 Pt
0.736 0.264 0.253 Pt
0.736 0.736 0.253 Pt
0.764 0.236 0.753 Pt
0.764 0.764 0.753 Pt
```

Computed properties:
- Formation energy from raw total energies: -0.703 eV/atom
- Crystal system: tetragonal
- Symmetry: No. 107

No. 9
The following is a DFT calculation (PBE) of LaBi2Se4 after structural relaxation.

Geometry as POSCAR:
```
LaBi2Se4
1.0
2.240 -6.754 0.000
2.240 6.754 0.000
0.000 0.000 13.814
La Bi Se
2 4 8
Direct
0.123 0.877 0.750 La
0.877 0.123 0.250 La
0.373 0.627 0.562 Bi
0.373 0.627 0.938 Bi
0.627 0.373 0.062 Bi
0.627 0.373 0.438 Bi
0.000 0.000 0.000 Se
0.000 0.000 0.500 Se
0.272 0.728 0.123 Se
0.272 0.728 0.377 Se
0.476 0.524 0.750 Se
0.524 0.476 0.250 Se
0.728 0.272 0.623 Se
0.728 0.272 0.877 Se
```

Computed properties:
- Formation energy from raw total energies: -0.858 eV/atom
- Crystal system: orthorhombic
- Symmetry: No. 63

No. 10
The following is a DFT calculation (PBE) of CdCu3 after structural relaxation.

Geometry as POSCAR:
```
CdCu3
1.0
6.099 0.000 0.000
0.000 6.099 0.000
0.000 0.000 6.099
Cd Cu
4 12
Direct
0.000 0.000 0.000 Cd
0.000 0.500 0.500 Cd
0.500 0.000 0.500 Cd
0.500 0.500 0.000 Cd
0.000 0.000 0.500 Cu
0.000 0.500 0.000 Cu
0.250 0.250 0.250 Cu
0.250 0.250 0.750 Cu
0.250 0.750 0.250 Cu
0.250 0.750 0.750 Cu
0.500 0.000 0.000 Cu
0.500 0.500 0.500 Cu
0.750 0.250 0.250 Cu
0.750 0.250 0.750 Cu
0.750 0.750 0.250 Cu
0.750 0.750 0.750 Cu
```

Computed properties:
- Crystal system: cubic
- Symmetry: No. 225
- Energy relative to the elements: 0.094 eV per atom

No. 11
The following is a DFT calculation (PBE) of Pm3Pr6NdTm2 after structural relaxation.

Geometry as POSCAR:
```
Pm3Pr6NdTm2
1.0
3.176 -5.502 0.000
3.176 5.502 0.000
-2.118 0.000 11.871
Pm Pr Nd Tm
3 6 1 2
Direct
0.000 0.000 0.000 Pm
0.333 0.667 0.000 Pm
0.667 0.333 0.000 Pm
0.082 0.417 0.253 Pr
0.249 0.249 0.747 Pr
0.417 0.082 0.253 Pr
0.583 0.918 0.747 Pr
0.751 0.751 0.253 Pr
0.918 0.583 0.747 Pr
0.500 0.500 0.500 Nd
0.167 0.833 0.500 Tm
0.833 0.167 0.500 Tm
```

Computed properties:
- Crystal system: monoclinic
- Symmetry: No. 12
- Energy relative to the elements: 0.015 eV per atom

No. 12
The following is a DFT calculation (PBE) of Cs2W2S after structural relaxation.

Geometry as POSCAR:
```
Cs2W2S
1.0
10.906 0.000 0.000
0.000 10.906 0.000
0.000 0.000 3.257
Cs W S
4 4 2
Direct
0.215 0.285 0.000 Cs
0.285 0.785 0.000 Cs
0.715 0.215 0.000 Cs
0.785 0.715 0.000 Cs
0.069 0.569 0.500 W
0.431 0.069 0.500 W
0.569 0.931 0.500 W
0.931 0.431 0.500 W
0.000 0.000 0.000 S
0.500 0.500 0.000 S
```

Computed properties:
- Formation energy from raw total energies: 1.638 eV/atom
- Crystal system: tetragonal
- Symmetry: No. 127
- E above lowest polymorph: 0.9056 eV/atom

Total magnetization (computed, μB/atom): 0.00, 0.24, 0.00, 0.00, 1.50, 0.31, 0.00, 0.00, 0.00, 0.00, 0.00, 0.00
V (computed, A^3/atom): 21.0, 18.9, 17.2, 22.6, 19.5, 12.6, 13.9, 23.4, 29.9, 14.2, 34.6, 38.7
Final energy (computed, eV/cell): -83.62, -39.85, -37.71, -44.06, -164.62, -28.56, -19.63, -90.20, -65.27, -51.31, -56.46, -47.10